# 1
First-principles (PBE) data for Ti2VGe after structural relaxation, as listed in the Alexandria database.

Computed properties:
**Energy of formation**: 0.2019 eV per atom
**Density of states at the Fermi level**: 19.900 states/eV per cell

a b c (Å): 7.108 7.108 5.175
angles (deg): 90.00 90.00 90.00
Fractional positions:
Ti1 0.248 0.250 0.125
Ti2 0.250 0.748 0.375
Ti3 0.250 0.752 0.875
Ti4 0.252 0.250 0.625
Ti5 0.748 0.750 0.625
Ti6 0.750 0.248 0.875
Ti7 0.750 0.252 0.375
Ti8 0.752 0.750 0.125
V1 0.000 0.000 0.000
V2 0.000 0.500 0.250
V3 0.500 0.000 0.750
V4 0.500 0.500 0.500
Ge1 0.000 0.000 0.500
Ge2 0.000 0.500 0.750
Ge3 0.500 0.000 0.250
Ge4 0.500 0.500 0.000

***

# 2
First-principles (PBE) data for TiV2Ge3 after structural relaxation, as listed in the Alexandria database.

Computed properties:
**Energy of formation**: -0.1284 eV per atom
**Density of states at the Fermi level**: 11.588 states/eV per cell

a b c (Å): 3.429 9.071 6.153
angles (deg): 90.00 90.00 90.00
Fractional positions:
Ti1 0.000 0.086 0.000
Ti2 0.000 0.914 0.500
V1 0.000 0.226 0.456
V2 0.000 0.774 0.956
V3 0.500 0.437 0.488
V4 0.500 0.563 0.988
Ge1 0.000 0.383 0.811
Ge2 0.000 0.617 0.311
Ge3 0.500 0.102 0.691
Ge4 0.500 0.290 0.144
Ge5 0.500 0.710 0.644
Ge6 0.500 0.898 0.191

***

# 3
First-principles (PBE) data for TiV6Ge8 after structural relaxation, as listed in the Alexandria database.

Computed properties:
**Energy of formation**: -0.1653 eV per atom
**Density of states at the Fermi level**: 8.937 states/eV per cell

a b c (Å): 6.577 6.577 6.577
angles (deg): 66.90 66.90 66.90
Fractional positions:
Ti1 0.000 0.000 0.000
V1 0.143 0.658 0.412
V2 0.342 0.588 0.857
V3 0.412 0.143 0.658
V4 0.588 0.857 0.342
V5 0.658 0.412 0.143
V6 0.857 0.342 0.588
Ge1 0.064 0.405 0.843
Ge2 0.157 0.936 0.595
Ge3 0.291 0.291 0.291
Ge4 0.405 0.843 0.064
Ge5 0.595 0.157 0.936
Ge6 0.709 0.709 0.709
Ge7 0.843 0.064 0.405
Ge8 0.936 0.595 0.157

***

# 4
First-principles (PBE) data for TiV6Ge4 after structural relaxation, as listed in the Alexandria database.

Computed properties:
**Energy of formation**: 0.1146 eV per atom
**Density of states at the Fermi level**: 8.276 states/eV per cell

a b c (Å): 6.390 6.390 6.390
angles (deg): 120.03 120.03 89.95
Fractional positions:
Ti1 0.000 0.000 0.000
V1 0.000 0.500 0.500
V2 0.222 0.222 0.715
V3 0.494 0.778 0.000
V4 0.500 0.000 0.500
V5 0.506 0.506 0.285
V6 0.778 0.494 0.000
Ge1 0.141 0.619 0.000
Ge2 0.381 0.381 0.522
Ge3 0.619 0.141 0.000
Ge4 0.859 0.859 0.478

***

# 5
First-principles (PBE) data for TiVGe after structural relaxation, as listed in the Alexandria database.

Computed properties:
**Energy of formation**: -0.1851 eV per atom
**Density of states at the Fermi level**: 5.559 states/eV per cell

a b c (Å): 2.807 5.514 6.331
angles (deg): 73.57 85.24 77.37
Fractional positions:
Ti1 0.156 0.177 0.332
Ti2 0.844 0.823 0.668
V1 0.373 0.330 0.668
V2 0.627 0.670 0.332
Ge1 0.000 0.000 0.000
Ge2 0.500 0.500 0.000

***

# 6
First-principles (PBE) data for TiV2GeW after structural relaxation, as listed in the Alexandria database.

Computed properties:
**Energy of formation**: 1.4080 eV per atom
**Density of states at the Fermi level**: 5.200 states/eV per cell

a b c (Å): 4.335 4.335 4.692
angles (deg): 90.00 90.00 90.00
Fractional positions:
Ti1 0.000 0.000 0.000
V1 0.000 0.500 0.000
V2 0.500 0.000 0.000
Ge1 0.500 0.500 0.500
W1 0.000 0.000 0.500